Record 1
# K2Er

A relaxed K2Er crystal (GGA-PBE, the Open Quantum Materials Database).

Properties
Calculated volume = 1658 Å³/cell
DFT total energy = -0.028 Ha/atom

Unit cell a=13.284 b=13.284 c=13.284 alpha=60.00 beta=60.00 gamma=60.00
Each line ends with the local moment (μB).
Atoms (fractional coordinates):
Er (0.250, 0.250, 0.250)  0.96
Er (0.500, 0.500, 0.500)  0.99
K (0.375, 0.375, 0.375)  0.04
K (0.875, 0.375, 0.375)  0.04
K (0.375, 0.875, 0.375)  0.04
K (0.375, 0.375, 0.875)  0.03

=====

Record 2
# K2Er

A relaxed K2Er crystal (GGA-PBE, the Open Quantum Materials Database).

Properties
Calculated volume = 204 Å³/cell
DFT total energy = -0.045 Ha/atom

Unit cell a=6.610 b=6.610 c=6.610 alpha=60.00 beta=60.00 gamma=60.00
Each line ends with the local moment (μB).
Atoms (fractional coordinates):
Er (0.000, 0.000, 0.000)  0.54
K (0.250, 0.250, 0.250)  0.02
K (0.750, 0.750, 0.750)  0.02

=====

Record 3
# K2Er

A relaxed K2Er crystal (GGA-PBE, the Open Quantum Materials Database).

Properties
Calculated volume = 284 Å³/cell
DFT total energy = -0.056 Ha/atom

Unit cell a=7.379 b=7.379 c=7.379 alpha=60.00 beta=60.00 gamma=60.00
Each line ends with the local moment (μB).
Atoms (fractional coordinates):
Er (0.000, 0.000, 0.000)  0.51
Er (0.250, 0.250, 0.250)  0.51
K (0.625, 0.625, 0.125)  0.01
K (0.625, 0.125, 0.625)  0.01
K (0.125, 0.625, 0.625)  0.02
K (0.625, 0.625, 0.625)  0.01